*1*
Compound: Fe4Co3
Source: Alexandria via LeMat-Bulk
Functional: PBE
Structure: relaxed

Total moment: 15.70 μB per formula unit
Crystal system: monoclinic
N(E_F): 0.632 states/eV per atom

Lattice parameters (Å, degrees): 4.718 4.718 6.371 97.79 97.79 34.93
Site moments in Bohr magnetons follow the coordinates.
Sites, in units of the cell vectors:
Fe (0.286, 0.286, 0.859)  2.64
Co (0.717, 0.717, 0.143)  1.77
Fe (0.429, 0.429, 0.284)  2.72
Co (0.141, 0.141, 0.428)  1.76
Fe (0.571, 0.571, 0.714)  2.64
Fe (0.855, 0.855, 0.570)  2.56
Co (0.000, 0.000, 0.000)  1.76

*2*
Compound: Fe4Co3
Source: Alexandria via LeMat-Bulk
Functional: PBE
Structure: relaxed

Total moment: 14.75 μB per formula unit
Crystal system: orthorhombic
N(E_F): 1.007 states/eV per atom

Lattice parameters (Å, degrees): 2.485 2.485 13.062 95.32 95.32 91.47
Site moments in Bohr magnetons follow the coordinates.
Sites, in units of the cell vectors:
Fe (0.142, 0.142, 0.283)  2.54
Co (0.570, 0.570, 0.140)  1.62
Co (0.005, 0.005, 0.009)  1.63
Fe (0.282, 0.282, 0.564)  2.48
Fe (0.433, 0.433, 0.865)  2.54
Co (0.712, 0.712, 0.423)  1.55
Fe (0.857, 0.857, 0.714)  2.49

Which one is most stable, and which one is least stable? *1* is the most stable of them, while *2* is the least stable.

*1*
Compound: Fe13Co2
Source: Alexandria via LeMat-Bulk
Functional: PBE
Structure: relaxed

Total moment: 34.80 μB per formula unit
Crystal system: triclinic
N(E_F): 0.751 states/eV per atom

Lattice parameters (Å, degrees): 4.013 7.415 8.427 133.27 103.69 90.03
Site moments in Bohr magnetons follow the coordinates.
Sites, in units of the cell vectors:
Co (0.200, 0.200, 0.400)  1.72
Fe (0.601, 0.600, 0.202)  2.45
Fe (0.000, 0.000, 0.000)  2.50
Fe (0.733, 0.068, 0.466)  2.51
Fe (0.399, 0.400, 0.798)  2.45
Fe (0.267, 0.932, 0.534)  2.51
Fe (0.533, 0.865, 0.065)  2.32
Fe (0.333, 0.666, 0.666)  2.56
Fe (0.867, 0.534, 0.734)  2.33
Co (0.800, 0.800, 0.600)  1.72
Fe (0.067, 0.735, 0.134)  2.44
Fe (0.467, 0.135, 0.935)  2.32
Fe (0.667, 0.334, 0.334)  2.56
Fe (0.933, 0.265, 0.866)  2.44
Fe (0.133, 0.466, 0.266)  2.33

*2*
Compound: Fe13Co2
Source: Alexandria via LeMat-Bulk
Functional: PBE
Structure: relaxed

Total moment: 3.95 μB per formula unit
Crystal system: trigonal
N(E_F): 0.795 states/eV per atom

Lattice parameters (Å, degrees): 6.428 6.428 6.798 61.78 61.78 60.00
Site moments in Bohr magnetons follow the coordinates.
Sites, in units of the cell vectors:
Fe (0.264, 0.903, 0.568)  1.99
Fe (0.514, 0.145, 0.826)  -1.34
Fe (0.500, 0.500, 0.500)  -1.42
Fe (0.514, 0.514, 0.826)  -1.34
Co (0.734, 0.734, 0.798)  0.69
Co (0.266, 0.266, 0.202)  0.69
Fe (0.855, 0.486, 0.174)  -1.34
Fe (0.486, 0.486, 0.174)  -1.34
Fe (0.145, 0.514, 0.826)  -1.34
Fe (0.736, 0.736, 0.432)  1.99
Fe (0.736, 0.097, 0.432)  1.99
Fe (0.903, 0.264, 0.568)  1.99
Fe (0.486, 0.855, 0.174)  -1.34
Fe (0.264, 0.264, 0.568)  1.99
Fe (0.097, 0.736, 0.432)  1.99

Which one is most stable, and which one is least stable? *1* is the most stable of them, while *2* is the least stable.

*1*
Compound: FeCo6
Source: Alexandria via LeMat-Bulk
Functional: PBE
Structure: relaxed

Total moment: 12.92 μB per formula unit
Crystal system: trigonal
N(E_F): 1.356 states/eV per atom

Lattice parameters (Å, degrees): 6.135 6.135 6.135 37.88 37.88 37.88
Site moments in Bohr magnetons follow the coordinates.
Sites, in units of the cell vectors:
Co (0.284, 0.284, 0.284)  1.76
Co (0.572, 0.572, 0.572)  1.72
Co (0.856, 0.856, 0.856)  1.72
Co (0.428, 0.428, 0.428)  1.72
Fe (0.714, 0.714, 0.714)  2.68
Co (0.001, 0.001, 0.001)  1.72
Co (0.144, 0.144, 0.144)  1.76

*2*
Compound: FeCo6
Source: Alexandria via LeMat-Bulk
Functional: PBE
Structure: relaxed

Total moment: 13.17 μB per formula unit
Crystal system: trigonal
N(E_F): 1.232 states/eV per atom

Lattice parameters (Å, degrees): 4.767 4.767 4.401 90.00 90.00 120.00
Site moments in Bohr magnetons follow the coordinates.
Sites, in units of the cell vectors:
Co (0.582, 0.000, 0.260)  1.76
Co (0.000, 0.582, 0.260)  1.76
Co (0.418, 0.418, 0.260)  1.76
Co (0.000, 0.418, 0.740)  1.76
Fe (0.000, 0.000, 0.000)  2.69
Co (0.582, 0.582, 0.740)  1.76
Co (0.418, 0.000, 0.740)  1.76

*3*
Compound: FeCo6
Source: Alexandria via LeMat-Bulk
Functional: PBE
Structure: relaxed

Total moment: 13.20 μB per formula unit
Crystal system: monoclinic
N(E_F): 1.213 states/eV per atom

Lattice parameters (Å, degrees): 4.688 4.688 4.648 84.44 84.44 50.48
Site moments in Bohr magnetons follow the coordinates.
Sites, in units of the cell vectors:
Co (0.428, 0.428, 0.276)  1.79
Co (0.144, 0.144, 0.438)  1.79
Co (0.005, 0.005, 0.006)  1.77
Co (0.857, 0.857, 0.575)  1.74
Fe (0.286, 0.286, 0.857)  2.71
Co (0.715, 0.715, 0.140)  1.74
Co (0.566, 0.566, 0.709)  1.77

Which one is most stable, and which one is least stable? *3* is the most stable of them, while *2* is the least stable.

*1*
Compound: FeCo6
Source: Alexandria via LeMat-Bulk
Functional: PBE
Structure: relaxed

Total moment: 13.12 μB per formula unit
Crystal system: tetragonal
N(E_F): 1.200 states/eV per atom

Lattice parameters (Å, degrees): 9.809 9.809 9.809 163.25 163.25 23.77
Site moments in Bohr magnetons follow the coordinates.
Sites, in units of the cell vectors:
Co (0.143, 0.143, 0.000)  1.74
Co (0.575, 0.575, 0.000)  1.77
Co (0.714, 0.714, 0.000)  1.74
Co (0.282, 0.282, 0.000)  1.77
Co (0.001, 0.001, 0.000)  1.74
Co (0.856, 0.856, 0.000)  1.74
Fe (0.429, 0.429, 0.000)  2.75

*2*
Compound: FeCo6
Source: Alexandria via LeMat-Bulk
Functional: PBE
Structure: relaxed

Total moment: 0.34 μB per formula unit
Crystal system: tetragonal
N(E_F): 1.143 states/eV per atom

Lattice parameters (Å, degrees): 13.831 13.830 2.433 84.99 84.99 10.09
Site moments in Bohr magnetons follow the coordinates.
Sites, in units of the cell vectors:
Co (0.217, 0.217, 0.783)  1.70
Co (0.914, 0.915, 0.086)  -1.57
Fe (0.000, 0.000, 0.000)  -2.73
Co (0.348, 0.348, 0.652)  1.41
Co (0.652, 0.652, 0.348)  1.41
Co (0.783, 0.783, 0.217)  1.70
Co (0.086, 0.085, 0.914)  -1.57

Which one is most stable, and which one is least stable? *1* is the most stable of them, while *2* is the least stable.

*1*
Compound: Fe2Co3
Source: Alexandria via LeMat-Bulk
Functional: PBE
Structure: relaxed

Total moment: 10.07 μB per formula unit
Crystal system: trigonal
N(E_F): 1.081 states/eV per atom

Lattice parameters (Å, degrees): 10.408 10.408 10.408 13.89 13.89 13.89
Site moments in Bohr magnetons follow the coordinates.
Sites, in units of the cell vectors:
Fe (0.600, 0.600, 0.600)  2.56
Co (0.199, 0.199, 0.199)  1.69
Co (0.801, 0.801, 0.801)  1.69
Co (0.000, 0.000, 0.000)  1.64
Fe (0.400, 0.400, 0.400)  2.56

*2*
Compound: Fe2Co3
Source: Alexandria via LeMat-Bulk
Functional: PBE
Structure: relaxed

Total moment: 10.45 μB per formula unit
Crystal system: monoclinic
N(E_F): 0.928 states/eV per atom

Lattice parameters (Å, degrees): 6.177 6.177 2.467 82.25 82.25 37.56
Site moments in Bohr magnetons follow the coordinates.
Sites, in units of the cell vectors:
Fe (0.599, 0.599, 0.596)  2.65
Co (0.400, 0.400, 0.427)  1.75
Co (0.000, 0.000, 0.973)  1.75
Fe (0.801, 0.801, 0.804)  2.65
Co (0.200, 0.200, 0.200)  1.75

Which one is most stable, and which one is least stable? *2* is the most stable of them, while *1* is the least stable.

*1*
Compound: Fe2Co3
Source: Alexandria via LeMat-Bulk
Functional: PBE
Structure: relaxed

Total moment: 10.38 μB per formula unit
Crystal system: monoclinic
N(E_F): 0.884 states/eV per atom

Lattice parameters (Å, degrees): 3.957 4.503 5.982 41.25 70.69 63.93
Site moments in Bohr magnetons follow the coordinates.
Sites, in units of the cell vectors:
Co (0.197, 0.115, 0.491)  1.70
Fe (0.020, 0.969, 0.992)  2.70
Fe (0.524, 0.461, 0.491)  2.73
Co (0.698, 0.614, 0.990)  1.70
Co (0.357, 0.295, 0.991)  1.62

*2*
Compound: Fe2Co3
Source: Alexandria via LeMat-Bulk
Functional: PBE
Structure: relaxed

Total moment: 10.39 μB per formula unit
Crystal system: orthorhombic
N(E_F): 0.985 states/eV per atom

Lattice parameters (Å, degrees): 7.311 6.473 4.712 79.94 60.67 39.39
Site moments in Bohr magnetons follow the coordinates.
Sites, in units of the cell vectors:
Fe (0.349, 0.550, 0.151)  2.71
Co (0.302, 0.500, 0.699)  1.69
Co (0.498, 0.699, 0.500)  1.69
Co (0.150, 0.350, 0.350)  1.65
Co (0.900, 0.100, 0.100)  1.65
Fe (0.950, 0.151, 0.550)  2.71
Fe (0.099, 0.300, 0.901)  2.71
Fe (0.700, 0.901, 0.300)  2.71
Co (0.750, 0.948, 0.752)  1.69
Co (0.551, 0.752, 0.948)  1.69

Which one is most stable, and which one is least stable? *2* is the most stable of them, while *1* is the least stable.